(1)
Computed, not measured: crystalline CePmGaGe at its relaxed geometry at the PBE level of DFT.

Space-group type: F-43m, No. 216
Crystal system: cubic
E_form, eV per formula unit: -2.17
Fermi-level density of states, states/eV/f.u.: 7.23

Cell: 5.1716 5.1716 5.1716 Å, 60.00 60.00 60.00°
Element x y z (fractional)
Ce  0.0000  0.0000  0.0000
Pm  0.5000  0.5000  0.5000
Ga  0.2500  0.2500  0.2500
Ge  0.7500  0.7500  0.7500


(2)
Computed, not measured: crystalline CePmGaGe at its relaxed geometry at the PBE level of DFT.

Space-group type: Amm2, No. 38
Crystal system: orthorhombic
E_form, eV per formula unit: -2.75
Fermi-level density of states, states/eV/f.u.: 6.30

Cell: 4.0849 6.0107 6.0107 Å, 43.14 90.00 90.00°
Element x y z (fractional)
Ce  0.0000  0.0000  0.0000
Pm  0.5000  0.7160  0.7160
Ga  0.0000  0.2832  0.2832
Ge  0.5000  0.4339  0.4339


(3)
Computed, not measured: crystalline CeGa2Ge2Pt7 at its relaxed geometry at the PBE level of DFT.

Space-group type: C2/m, No. 12
Crystal system: monoclinic
E_form, eV per formula unit: -6.53
Fermi-level density of states, states/eV/f.u.: 4.82

Cell: 3.9387 3.9387 15.0032 Å, 94.61 94.61 90.54°
Element x y z (fractional)
Ce  0.0000  0.0000  0.0000
Ga  0.1272  0.1272  0.4228
Ga  0.8728  0.8728  0.5772
Ge  0.4163  0.4163  0.7435
Ge  0.5837  0.5837  0.2565
Pt  0.0501  0.5495  0.1508
Pt  0.3845  0.3845  0.5813
Pt  0.4505  0.9499  0.8492
Pt  0.5000  0.5000  0.0000
Pt  0.5495  0.0501  0.1508
Pt  0.6155  0.6155  0.4187
Pt  0.9499  0.4505  0.8492


(4)
Computed, not measured: crystalline Ce2GaGe3Pt4 at its relaxed geometry at the PBE level of DFT.

Space-group type: P-4m2, No. 115
Crystal system: tetragonal
E_form, eV per formula unit: -9.24
Fermi-level density of states, states/eV/f.u.: 13.19

Cell: 4.3636 4.3636 10.1014 Å, 90.00 90.00 90.00°
Element x y z (fractional)
Ce  0.0000  0.5000  0.2487
Ce  0.5000  0.0000  0.7513
Ga  0.5000  0.5000  0.0000
Ge  0.0000  0.0000  0.0000
Ge  0.0000  0.5000  0.6298
Ge  0.5000  0.0000  0.3702
Pt  0.0000  0.0000  0.5000
Pt  0.0000  0.5000  0.8720
Pt  0.5000  0.0000  0.1280
Pt  0.5000  0.5000  0.5000


(5)
Computed, not measured: crystalline Ce2GaGePt6 at its relaxed geometry at the PBE level of DFT.

Space-group type: C2/m, No. 12
Crystal system: monoclinic
E_form, eV per formula unit: -7.63
Fermi-level density of states, states/eV/f.u.: 13.09

Cell: 5.6236 5.6236 8.4210 Å, 109.53 109.53 60.04°
Element x y z (fractional)
Ce  0.2061  0.2061  0.1174
Ce  0.7939  0.7939  0.8826
Ga  0.5000  0.5000  0.0000
Ge  0.0000  0.0000  0.5000
Pt  0.2489  0.2489  0.7480
Pt  0.2491  0.7484  0.7474
Pt  0.2516  0.7509  0.2526
Pt  0.7484  0.2491  0.7474
Pt  0.7509  0.2516  0.2526
Pt  0.7511  0.7511  0.2520


(6)
Computed, not measured: crystalline Ce2Ga4GePt3 at its relaxed geometry at the PBE level of DFT.

Space-group type: P-4m2, No. 115
Crystal system: tetragonal
E_form, eV per formula unit: -8.25
Fermi-level density of states, states/eV/f.u.: 13.22

Cell: 4.3199 4.3199 10.4267 Å, 90.00 90.00 90.00°
Element x y z (fractional)
Ce  0.0000  0.5000  0.2467
Ce  0.5000  0.0000  0.7533
Ga  0.0000  0.0000  0.0000
Ga  0.0000  0.5000  0.6365
Ga  0.5000  0.0000  0.3635
Ga  0.5000  0.5000  0.0000
Ge  0.0000  0.0000  0.5000
Pt  0.0000  0.5000  0.8704
Pt  0.5000  0.0000  0.1296
Pt  0.5000  0.5000  0.5000